No. 1
A geometry-optimized Na2HfPaTe4 structure. Source: Alexandria via LeMat-Bulk, functional GGA-PBE.

As for the crystal system: monoclinic. The size of the total moment comes out at 0.24 μB/atom. The density is 6.7 g/cm³. The value obtained for the formation energy (no corrections) is -829 meV/atom.

```
Na2HfPaTe4
1.0
-2.008 2.611 2.545
1.806 -4.127 5.659
6.050 5.545 -0.916
Hf Pa Te Na
1 1 4 2
Cartesian
-0.101 -0.758 4.102 Hf
0.000 0.000 0.000 Pa
2.679 -1.750 3.909 Te
4.952 2.486 4.760 Te
5.178 3.168 0.834 Te
0.896 1.544 2.527 Te
2.021 4.078 0.814 Na
3.928 0.709 2.371 Na
```

No. 2
A geometry-optimized LiNdScRu structure. Source: Alexandria via LeMat-Bulk, functional GGA-PBE.

As for the crystal system: cubic. The size of the total moment comes out at 0.00 μB/atom. The formation energy comes out at -0.2061 eV per atom. The density is 6.1 g/cm³.

```
LiNdScRu
1.0
-2.602 -4.098 0.060
1.246 -3.623 2.981
-2.782 -1.053 3.837
Li Sc Nd Ru
1 1 1 1
Cartesian
-3.104 -6.581 5.158 Li
-2.069 -4.387 3.439 Sc
0.000 0.000 0.000 Nd
-1.035 -2.194 1.719 Ru
```

No. 3
A geometry-optimized LiBeIrAu structure. Source: Alexandria via LeMat-Bulk, functional GGA-PBE.

As for the crystal system: cubic. The size of the total moment comes out at 0.00 μB/atom. The formation energy comes out at -0.2913 eV per atom. The density is 13.8 g/cm³.

```
LiBeIrAu
1.0
4.104 0.000 0.000
2.052 3.555 0.000
2.052 1.185 3.351
Au Li Ir Be
1 1 1 1
Cartesian
0.000 0.000 0.000 Au
6.157 3.555 2.513 Li
4.104 2.370 1.676 Ir
2.052 1.185 0.838 Be
```

No. 4
A geometry-optimized LaSm2Dy structure. Source: Alexandria via LeMat-Bulk, functional GGA-PBE.

As for the crystal system: orthorhombic. The size of the total moment comes out at 0.00 μB/atom. The formation energy comes out at 0.0194 eV per atom. The density is 7.3 g/cm³.

```
LaSm2Dy
1.0
5.132 0.000 0.467
0.000 7.304 0.000
-0.656 0.000 7.207
Sm La Dy
4 2 2
Cartesian
2.398 3.652 2.075 Sm
2.398 0.000 2.075 Sm
2.077 3.652 5.599 Sm
2.077 7.304 5.599 Sm
5.131 1.826 0.469 La
-0.656 5.478 7.205 La
4.803 1.826 4.073 Dy
-0.328 5.478 3.602 Dy
```

No. 5
A geometry-optimized Al3TlS structure. Source: Alexandria via LeMat-Bulk, functional GGA-PBE.

As for the crystal system: cubic. The size of the total moment comes out at 0.00 μB/atom. The density is 4.7 g/cm³. The value obtained for the formation energy (no corrections) is 354 meV/atom.

```
Al3TlS
1.0
-3.452 -3.318 0.507
1.912 -2.542 -3.614
2.758 -2.390 3.140
S Al Tl
1 3 1
Cartesian
0.000 0.000 0.000 S
0.956 -1.271 -1.807 Al
1.379 -1.195 1.570 Al
-1.726 -1.659 0.253 Al
0.609 -4.125 0.016 Tl
```

No. 6
A geometry-optimized TlP2Rh structure. Source: Alexandria via LeMat-Bulk, functional GGA-PBE.

As for the crystal system: orthorhombic. The size of the total moment comes out at 0.00 μB/atom. The formation energy comes out at -0.0120 eV per atom. The density is 8.1 g/cm³.

```
TlP2Rh
1.0
3.286 0.000 0.000
0.000 3.195 0.000
0.000 0.000 7.190
Rh P Tl
1 2 1
Cartesian
1.643 1.597 1.797 Rh
0.000 0.000 0.649 P
0.000 0.000 2.945 P
1.643 1.597 5.392 Tl
```

No. 7
A geometry-optimized CaPaAlZn structure. Source: Alexandria via LeMat-Bulk, functional GGA-PBE.

As for the crystal system: cubic. The size of the total moment comes out at 0.00 μB/atom. The formation energy comes out at 0.0374 eV per atom. The density is 6.5 g/cm³.

```
CaPaAlZn
1.0
5.087 0.000 0.000
2.543 4.405 0.000
2.543 1.468 4.153
Zn Ca Al Pa
1 1 1 1
Cartesian
0.000 0.000 0.000 Zn
2.543 1.468 1.038 Ca
5.087 2.937 2.077 Al
7.630 4.405 3.115 Pa
```

No. 8
A geometry-optimized KPb3O structure. Source: Alexandria via LeMat-Bulk, functional GGA-PBE.

As for the crystal system: cubic. The size of the total moment comes out at 0.00 μB/atom. The density is 5.0 g/cm³. The value obtained for the formation energy (no corrections) is 1443 meV/atom.

```
KPb3O
1.0
6.061 0.000 0.000
0.000 6.061 0.000
0.000 0.000 6.061
Pb O K
3 1 1
Cartesian
0.000 3.031 0.000 Pb
0.000 0.000 3.031 Pb
3.031 0.000 0.000 Pb
3.031 3.031 3.031 O
0.000 0.000 0.000 K
```

No. 9
A geometry-optimized ZrTaOs structure. Source: Alexandria via LeMat-Bulk, functional GGA-PBE.

As for the crystal system: trigonal. The size of the total moment comes out at 0.00 μB/atom. The formation energy comes out at 0.0730 eV per atom. The density is 13.8 g/cm³.

```
ZrTaOs
1.0
-0.274 -3.009 -0.698
1.297 1.951 -2.032
5.992 -1.172 2.700
Ta Os Zr
1 1 1
Cartesian
2.107 -1.719 -0.306 Ta
0.080 -0.016 0.036 Os
4.829 -0.496 0.240 Zr
```

No. 10
A geometry-optimized TiAl2Pt3 structure. Source: Alexandria via LeMat-Bulk, functional GGA-PBE.

As for the crystal system: tetragonal. The size of the total moment comes out at 0.11 μB/atom. The formation energy comes out at -0.9530 eV per atom. The density is 12.6 g/cm³.

```
TiAl2Pt3
1.0
-1.737 -1.906 -1.610
-1.494 -0.777 2.531
-6.446 7.218 -1.588
Al Ti Pt
2 1 3
Cartesian
-2.652 -0.181 0.205 Al
-7.025 4.716 -0.872 Al
-4.838 2.267 -0.333 Ti
0.000 0.000 0.000 Pt
-2.017 2.259 -0.497 Pt
-4.429 4.959 -1.091 Pt
```

No. 11
A geometry-optimized SmHg3Pb structure. Source: Alexandria via LeMat-Bulk, functional GGA-PBE.

As for the crystal system: monoclinic. The size of the total moment comes out at 0.00 μB/atom. The formation energy comes out at -0.2422 eV per atom. The density is 11.9 g/cm³.

```
SmHg3Pb
1.0
4.619 0.000 0.000
-2.309 8.842 0.857
0.000 -2.152 6.365
Sm Hg Pb
2 6 2
Cartesian
0.000 1.974 0.588 Sm
2.309 4.716 6.634 Sm
2.309 1.664 5.574 Hg
0.000 0.571 3.654 Hg
2.309 2.948 2.577 Hg
0.000 5.026 1.647 Hg
2.309 6.118 3.567 Hg
0.000 3.741 4.644 Hg
2.309 -0.465 1.517 Pb
0.000 7.155 5.704 Pb
```

No. 12
A geometry-optimized LiPrGa structure. Source: Alexandria via LeMat-Bulk, functional GGA-PBE.

As for the crystal system: tetragonal. The size of the total moment comes out at 0.00 μB/atom. The formation energy comes out at -0.2161 eV per atom. The density is 5.2 g/cm³.

```
LiPrGa
1.0
-2.279 1.414 -2.302
-2.485 -2.279 1.061
0.712 4.060 4.501
Pr Li Ga
1 1 1
Cartesian
-3.851 2.759 2.795 Pr
-2.885 0.660 0.549 Li
-0.866 1.881 2.012 Ga
```

No. 13
A geometry-optimized HfCuRh2 structure. Source: Alexandria via LeMat-Bulk, functional GGA-PBE.

As for the crystal system: orthorhombic. The size of the total moment comes out at 0.00 μB/atom. The formation energy comes out at 0.1638 eV per atom. The density is 11.3 g/cm³.

```
HfCuRh2
1.0
4.637 -1.553 -2.842
-1.215 4.736 2.842
-3.166 -0.027 4.686
Rh Hf Cu
2 1 1
Cartesian
-3.304 3.551 5.677 Rh
-1.078 1.158 1.852 Rh
-2.191 2.354 3.764 Hf
0.000 0.000 0.000 Cu
```

No. 14
A geometry-optimized ReRh2Se structure. Source: Alexandria via LeMat-Bulk, functional GGA-PBE.

As for the crystal system: monoclinic. The size of the total moment comes out at 0.00 μB/atom. The density is 12.7 g/cm³. The value obtained for the formation energy (no corrections) is 207 meV/atom.

```
ReRh2Se
1.0
4.755 -0.003 0.001
3.906 2.712 0.001
1.350 0.422 4.754
Rh Se Re
2 1 1
Cartesian
2.448 0.766 1.298 Rh
1.455 0.455 4.673 Rh
4.741 1.483 2.130 Se
7.722 2.416 3.786 Re
```

No. 15
A geometry-optimized Na2ZrTiS4 structure. Source: Alexandria via LeMat-Bulk, functional GGA-PBE.

As for the crystal system: monoclinic. The size of the total moment comes out at 0.13 μB/atom. The density is 3.4 g/cm³. The value obtained for the formation energy (no corrections) is -1416 meV/atom.

```
Na2ZrTiS4
1.0
-1.834 -0.778 3.044
1.996 -5.960 -0.321
4.772 3.613 3.800
S Na Zr Ti
4 2 1 1
Cartesian
0.638 -1.072 2.284 S
4.297 -2.053 4.238 S
4.284 1.226 2.895 S
2.484 -3.573 0.584 S
1.469 1.417 3.422 Na
3.384 -1.173 1.739 Na
0.000 0.000 0.000 Zr
0.081 -3.369 1.361 Ti
```

No. 16
A geometry-optimized CsC3 structure. Source: Alexandria via LeMat-Bulk, functional GGA-PBE.

As for the crystal system: orthorhombic. The size of the total moment comes out at 0.25 μB/atom. The formation energy comes out at 1.3242 eV per atom. The density is 2.3 g/cm³.

```
CsC3
1.0
5.624 -0.055 -0.222
-0.563 5.596 0.222
-3.604 -1.791 3.936
C Cs
3 1
Cartesian
-3.305 -1.294 3.781 C
-2.423 -0.328 3.781 C
-1.540 0.638 3.781 C
-0.902 3.365 1.925 Cs
```

No. 17
A geometry-optimized CaHgSb2Te structure. Source: Alexandria via LeMat-Bulk, functional GGA-PBE.

As for the crystal system: tetragonal. The size of the total moment comes out at 0.00 μB/atom. The density is 5.7 g/cm³. The value obtained for the formation energy (no corrections) is 200 meV/atom.

```
CaHgSb2Te
1.0
-4.931 -0.683 2.379
0.329 -5.437 -0.879
2.583 -0.678 5.158
Hg Te Sb Ca
1 1 2 1
Cartesian
0.000 0.000 0.000 Hg
1.291 -0.339 2.579 Te
-2.465 -0.342 1.190 Sb
0.164 -2.718 -0.440 Sb
-1.009 -3.399 3.329 Ca
```

No. 18
A geometry-optimized Rb2Pa2CrN6 structure. Source: Alexandria via LeMat-Bulk, functional GGA-PBE.

As for the crystal system: monoclinic. The size of the total moment comes out at 0.00 μB/atom. The density is 6.4 g/cm³. The value obtained for the formation energy (no corrections) is -663 meV/atom.

```
Rb2Pa2CrN6
1.0
-5.165 2.536 0.525
0.435 -5.054 -2.767
0.278 -2.614 6.498
N Pa Rb Cr
6 2 2 1
Cartesian
-2.850 -4.121 -0.030 N
-1.603 -1.011 4.286 N
-3.362 -3.587 2.550 N
-1.091 -1.545 1.706 N
-4.580 -1.776 0.987 N
0.127 -3.356 3.269 N
-3.151 -1.313 2.672 Pa
-1.302 -3.819 1.584 Pa
-0.465 -3.834 -2.238 Rb
-4.266 1.316 -0.004 Rb
0.139 -1.307 3.249 Cr
```

No. 19
A geometry-optimized LiSb2As structure. Source: Alexandria via LeMat-Bulk, functional GGA-PBE.

As for the crystal system: orthorhombic. The size of the total moment comes out at 0.00 μB/atom. The density is 5.9 g/cm³. The value obtained for the formation energy (no corrections) is 61 meV/atom.

```
LiSb2As
1.0
3.348 0.039 0.000
-0.805 3.250 0.000
0.000 0.000 8.345
Sb Li As
2 1 1
Cartesian
0.000 0.000 4.181 Sb
0.000 0.000 8.337 Sb
1.271 1.645 6.259 Li
1.271 1.645 2.086 As
```

No. 20
A geometry-optimized AlInPCl2 structure. Source: Alexandria via LeMat-Bulk, functional GGA-PBE.

As for the crystal system: tetragonal. The size of the total moment comes out at 0.23 μB/atom. The density is 2.7 g/cm³. The value obtained for the formation energy (no corrections) is 76 meV/atom.

```
AlInPCl2
1.0
5.232 0.000 0.000
0.000 5.232 0.000
0.000 0.000 5.384
Al P In Cl
1 1 1 2
Cartesian
2.616 2.616 2.692 Al
0.000 0.000 2.692 P
0.000 0.000 0.000 In
0.000 2.616 0.000 Cl
2.616 0.000 0.000 Cl
```